1.
ZrTlIn2: optimized geometry, GGA-PBE.

a b c (Å): 4.319 4.319 10.049
angles (deg): 90.00 90.00 90.00
Space group I4/mmm (No. 139)
Symmetry-distinct sites (fractional):
Zr  0.000  0.000  0.000 (multiplicity 2)
Tl  0.000  0.000  0.500 (multiplicity 2)
In  0.000  0.500  0.250 (multiplicity 4)

Values from the calculation:
The total magnetization is 0.000 μB per formula unit. The calculation puts the density of states at the Fermi level at 3.38 states/eV/cell. For the excess energy over the best structure of this formula in the dataset, the calculation gives 0.000 eV/atom. For the total energy, the calculation gives -4.22 eV per atom.

2.
Zr5Tl2In: optimized geometry, GGA-PBE.

a b c (Å): 7.699 7.699 12.636
angles (deg): 90.00 90.00 90.00
Space group I4/mcm (No. 140)
Symmetry-distinct sites (fractional):
Zr  0.000  0.000  0.000 (multiplicity 4)
Zr  0.152  0.348  0.161 (multiplicity 16)
Tl  0.146  0.354  0.500 (multiplicity 8)
In  0.000  0.000  0.250 (multiplicity 4)

Values from the calculation:
The total magnetization is 0.000 μB per formula unit. The calculation puts the density of states at the Fermi level at 45.60 states/eV/cell. For the excess energy over the best structure of this formula in the dataset, the calculation gives 0.066 eV/atom. For the total energy, the calculation gives -6.35 eV per atom.

3.
ZrTl2In: optimized geometry, GGA-PBE.

a b c (Å): 6.143 6.158 10.185
angles (deg): 90.00 90.00 90.00
Space group F222 (No. 22)
Symmetry-distinct sites (fractional):
Zr  0.000  0.000  0.000 (multiplicity 4)
Tl  0.000  0.000  0.500 (multiplicity 4)
Tl  0.250  0.250  0.250 (multiplicity 4)
In  0.250  0.250  0.750 (multiplicity 4)

Values from the calculation:
The total magnetization is 0.000 μB per formula unit. The calculation puts the density of states at the Fermi level at 6.72 states/eV/cell. For the excess energy over the best structure of this formula in the dataset, the calculation gives 0.010 eV/atom. For the total energy, the calculation gives -4.00 eV per atom.

4.
ZrTl2In: optimized geometry, GGA-PBE.

a b c (Å): 7.478 7.478 7.478
angles (deg): 90.00 90.00 90.00
Space group F-43m (No. 216)
Symmetry-distinct sites (fractional):
Zr  0.000  0.000  0.000 (multiplicity 4)
Tl  0.000  0.000  0.500 (multiplicity 4)
Tl  0.250  0.250  0.250 (multiplicity 4)
In  0.250  0.250  0.750 (multiplicity 4)

Values from the calculation:
The total magnetization is 0.001 μB per formula unit. The calculation puts the density of states at the Fermi level at 11.13 states/eV/cell. For the excess energy over the best structure of this formula in the dataset, the calculation gives 0.319 eV/atom. For the total energy, the calculation gives -3.70 eV per atom.

5.
Zr2TlIn2: optimized geometry, GGA-PBE.

a b c (Å): 7.530 7.530 4.171
angles (deg): 90.00 90.00 90.00
Space group P4/mbm (No. 127)
Symmetry-distinct sites (fractional):
Zr  0.173  0.327  0.000 (multiplicity 4)
Tl  0.000  0.000  0.500 (multiplicity 2)
In  0.130  0.630  0.500 (multiplicity 4)

Values from the calculation:
The total magnetization is 0.000 μB per formula unit. The calculation puts the density of states at the Fermi level at 4.26 states/eV/cell. For the excess energy over the best structure of this formula in the dataset, the calculation gives 0.033 eV/atom. For the total energy, the calculation gives -4.97 eV per atom.

6.
Zr2TlIn2: optimized geometry, GGA-PBE.

a b c (Å): 8.406 8.406 3.507
angles (deg): 90.00 90.00 90.00
Space group P4/mbm (No. 127)
Symmetry-distinct sites (fractional):
Zr  0.127  0.373  0.000 (multiplicity 4)
Tl  0.000  0.000  0.000 (multiplicity 2)
In  0.173  0.673  0.500 (multiplicity 4)

Values from the calculation:
The total magnetization is 0.000 μB per formula unit. The calculation puts the density of states at the Fermi level at 5.84 states/eV/cell. For the excess energy over the best structure of this formula in the dataset, the calculation gives 0.000 eV/atom. For the total energy, the calculation gives -5.00 eV per atom.

excess energy over the best structure of this formula in the dataset of number 5 (Zr2TlIn2)? 0.033 eV/atom

total magnetization of number 6 (Zr2TlIn2)? 0.000 μB per formula unit